Material: Ba2BeGeCl
Method: DFT, PBE-GGA
State: optimized geometry

Results
* raw formation energy: -61 meV/atom

a = 6.153 Å, b = 6.153 Å, c = 4.221 Å
α = 90.00°, β = 90.00°, γ = 90.00°
Space group P4/mmm (No. 123)
One atom of each set of equivalent atoms:
1 Ba 0.000 0.500 0.000
2 Be 0.000 0.000 0.000
3 Ge 0.500 0.500 0.500
4 Cl 0.000 0.000 0.500

Material: BaBeHgCl2
Method: DFT, PBE-GGA
State: optimized geometry

Results
* distance to the lowest polymorph of the same formula: 21.5 meV/atom
* raw formation energy: -558 meV/atom

a = 5.937 Å, b = 5.937 Å, c = 7.583 Å
α = 90.00°, β = 90.00°, γ = 90.00°
Space group P4/mmm (No. 123)
One atom of each set of equivalent atoms:
1 Ba 0.000 0.000 0.000
2 Be 0.000 0.000 0.500
3 Hg 0.500 0.500 0.500
4 Cl 0.000 0.500 0.000

Material: BaBeHgCl2
Method: DFT, PBE-GGA
State: optimized geometry

Results
* distance to the lowest polymorph of the same formula: 0.0 meV/atom
* raw formation energy: -580 meV/atom

a = 5.924 Å, b = 5.924 Å, c = 4.522 Å
α = 90.00°, β = 90.00°, γ = 90.00°
Space group P4/mmm (No. 123)
One atom of each set of equivalent atoms:
1 Ba 0.000 0.000 0.000
2 Be 0.500 0.500 0.000
3 Hg 0.500 0.500 0.500
4 Cl 0.000 0.500 0.500

Material: BaLaBeCl2
Method: DFT, PBE-GGA
State: optimized geometry

Results
* raw formation energy: -328 meV/atom

a = 5.654 Å, b = 5.654 Å, c = 6.241 Å
α = 90.00°, β = 90.00°, γ = 90.00°
Space group P4/mmm (No. 123)
One atom of each set of equivalent atoms:
1 Ba 0.000 0.000 0.000
2 La 0.500 0.500 0.500
3 Be 0.000 0.000 0.500
4 Cl 0.000 0.500 0.000

Material: Ba2BeNbCl
Method: DFT, PBE-GGA
State: optimized geometry

Results
* raw formation energy: 660 meV/atom

a = 6.221 Å, b = 6.221 Å, c = 4.724 Å
α = 90.00°, β = 90.00°, γ = 90.00°
Space group P4/mmm (No. 123)
One atom of each set of equivalent atoms:
1 Ba 0.000 0.500 0.000
2 Be 0.000 0.000 0.500
3 Nb 0.500 0.500 0.000
4 Cl 0.500 0.500 0.500

Material: BaBeCl2O
Method: DFT, PBE-GGA
State: optimized geometry

Results
* raw formation energy: 31 meV/atom

a = 5.882 Å, b = 5.882 Å, c = 9.262 Å
α = 90.00°, β = 90.00°, γ = 90.00°
Space group P4/mmm (No. 123)
One atom of each set of equivalent atoms:
1 Ba 0.000 0.000 0.000
2 Be 0.000 0.000 0.500
3 Cl 0.000 0.500 0.000
4 O 0.500 0.500 0.500

Material: Ba2BeOsCl
Method: DFT, PBE-GGA
State: optimized geometry

Results
* raw formation energy: 606 meV/atom

a = 5.892 Å, b = 5.892 Å, c = 4.193 Å
α = 90.00°, β = 90.00°, γ = 90.00°
Space group P4/mmm (No. 123)
One atom of each set of equivalent atoms:
1 Ba 0.000 0.500 0.000
2 Be 0.000 0.000 0.500
3 Os 0.500 0.500 0.500
4 Cl 0.000 0.000 0.000

Material: BaBeP2Cl
Method: DFT, PBE-GGA
State: optimized geometry

Results
* distance to the lowest polymorph of the same formula: 0.0 meV/atom
* raw formation energy: -612 meV/atom

a = 4.302 Å, b = 4.302 Å, c = 6.117 Å
α = 90.00°, β = 90.00°, γ = 90.00°
Space group P4/mmm (No. 123)
One atom of each set of equivalent atoms:
1 Ba 0.000 0.000 0.000
2 Be 0.500 0.500 0.500
3 P 0.000 0.500 0.500
4 Cl 0.500 0.500 0.000

Material: BaBeP2Cl
Method: DFT, PBE-GGA
State: optimized geometry

Results
* distance to the lowest polymorph of the same formula: 1599.5 meV/atom
* raw formation energy: 988 meV/atom

a = 6.564 Å, b = 6.564 Å, c = 5.918 Å
α = 90.00°, β = 90.00°, γ = 90.00°
Space group P4/mmm (No. 123)
One atom of each set of equivalent atoms:
1 Ba 0.000 0.000 0.000
2 Be 0.500 0.500 0.500
3 P 0.000 0.500 0.000
4 Cl 0.000 0.000 0.500

Material: Rb2BaBeCl6
Method: DFT, PBE-GGA
State: optimized geometry

Results
* raw formation energy: -1802 meV/atom

a = 7.506 Å, b = 7.506 Å, c = 10.640 Å
α = 90.00°, β = 90.00°, γ = 90.00°
Space group I4/mmm (No. 139)
One atom of each set of equivalent atoms:
1 Rb 0.000 0.500 0.250
2 Ba 0.000 0.000 0.000
3 Be 0.000 0.000 0.500
4 Cl 0.000 0.000 0.281
5 Cl 0.218 0.218 0.500

Material: BaBe2SCl
Method: DFT, PBE-GGA
State: optimized geometry

Results
* raw formation energy: 1092 meV/atom

a = 6.572 Å, b = 6.572 Å, c = 5.720 Å
α = 90.00°, β = 90.00°, γ = 90.00°
Space group P4/mmm (No. 123)
One atom of each set of equivalent atoms:
1 Ba 0.000 0.000 0.000
2 Be 0.000 0.500 0.000
3 S 0.500 0.500 0.500
4 Cl 0.000 0.000 0.500

Material: BaBeSi2Cl
Method: DFT, PBE-GGA
State: optimized geometry

Results
* raw formation energy: 1346 meV/atom

a = 6.238 Å, b = 6.238 Å, c = 5.792 Å
α = 90.00°, β = 90.00°, γ = 90.00°
Space group P4/mmm (No. 123)
One atom of each set of equivalent atoms:
1 Ba 0.000 0.000 0.000
2 Be 0.500 0.500 0.500
3 Si 0.000 0.500 0.000
4 Cl 0.000 0.000 0.500

Material: BaTa2BeCl
Method: DFT, PBE-GGA
State: optimized geometry

Results
* raw formation energy: 721 meV/atom

a = 4.409 Å, b = 4.409 Å, c = 7.377 Å
α = 90.00°, β = 90.00°, γ = 90.00°
Space group P4/mmm (No. 123)
One atom of each set of equivalent atoms:
1 Ba 0.000 0.000 0.000
2 Ta 0.000 0.500 0.500
3 Be 0.500 0.500 0.500
4 Cl 0.500 0.500 0.000

Material: BaYBeCl2
Method: DFT, PBE-GGA
State: optimized geometry

Results
* raw formation energy: 8 meV/atom

a = 5.686 Å, b = 5.686 Å, c = 8.688 Å
α = 90.00°, β = 90.00°, γ = 90.00°
Space group P4/mmm (No. 123)
One atom of each set of equivalent atoms:
1 Ba 0.000 0.000 0.000
2 Y 0.000 0.000 0.500
3 Be 0.500 0.500 0.500
4 Cl 0.000 0.500 0.000